Record 1
Entry from Alexandria: crystalline SmZnGa3Ni at its relaxed geometry (PBE).

Summary:
* crystal system: orthorhombic
* formation energy from the elements: -1.47 eV/f.u.
* total DFT energy (no corrections): -44.66 eV for the cell shown
* total magnetic moment: 0.00 μB/f.u.

a = 6.906 Å, b = 6.906 Å, c = 6.029 Å
α = 90.00°, β = 90.00°, γ = 130.09°
Fractional coordinates of all 12 atoms:
Sm: 0.213 0.787 0.750
Sm: 0.787 0.213 0.250
Zn: 0.153 0.847 0.250
Zn: 0.847 0.153 0.750
Ga: 0.217 0.217 0.000
Ga: 0.217 0.217 0.500
Ga: 0.364 0.636 0.250
Ga: 0.636 0.364 0.750
Ga: 0.783 0.783 0.000
Ga: 0.783 0.783 0.500
Ni: 0.428 0.572 0.750
Ni: 0.572 0.428 0.250



Record 2
Entry from Alexandria: crystalline ZrICl at its relaxed geometry (PBE).

Summary:
* crystal system: monoclinic
* energy above the lowest structure with this stoichiometry: 0.00 eV/f.u.
* raw formation energy: -1236.9 meV per atom
* total DFT energy (no corrections): -31.31 eV for the cell shown
* total magnetic moment: 0.00 μB/f.u.

a = 8.604 Å, b = 8.604 Å, c = 6.452 Å
α = 106.04°, β = 106.04°, γ = 24.14°
Fractional coordinates of all 6 atoms:
Zr: 0.247 0.247 0.297
Zr: 0.753 0.753 0.703
I: 0.388 0.388 0.683
I: 0.612 0.612 0.317
Cl: 0.165 0.165 0.860
Cl: 0.835 0.835 0.140



One value per record, in order, for theoretical density: 7.301 4.494 g/cm3.
One value per record, in order, for V: 220 187 Å³/cell.